*A*
Material: SmYZnAu
Method: DFT, GGA-PBE
State: optimized geometry

Cell: 3.647 3.647 7.159 Å, 90.00 90.00 90.00°
Space group P4mm (No. 99)
Unique sites:
Sm (0.000, 0.000, 0.000) (multiplicity 1)
Y (0.000, 0.000, 0.504) (multiplicity 1)
Zn (0.500, 0.500, 0.744) (multiplicity 1)
Au (0.500, 0.500, 0.263) (multiplicity 1)

Calculated values
Total magnetic moment in μB/atom: 0.000


*B*
Material: SmYZnAu
Method: DFT, GGA-PBE
State: optimized geometry

Cell: 7.263 7.263 7.263 Å, 90.00 90.00 90.00°
Space group F-43m (No. 216)
Unique sites:
Sm (0.000, 0.000, 0.000) (multiplicity 4)
Y (0.000, 0.000, 0.500) (multiplicity 4)
Zn (0.250, 0.250, 0.250) (multiplicity 4)
Au (0.250, 0.250, 0.750) (multiplicity 4)

Calculated values
Total magnetic moment in μB/atom: 0.000


Most stable pick: *A*. Distance to second place: 0.012 eV/atom.